1.
VASP calculation (PBE) on ErMgI6 after structural relaxation.

uncorrected formation energy	-0.926	eV per atom
N(E_F)	1.516	states/eV/atom
ρ	5.02	g/cm³

abc: 7.426 7.424 7.877
angles: 61.74 61.93 60.01
Fractional coordinates of all 8 atoms:
I  0.586  0.247  0.247
I  0.922  0.585  0.248
I  0.078  0.415  0.752
I  0.247  0.923  0.246
I  0.414  0.753  0.753
I  0.753  0.077  0.754
Mg  0.000  0.000  0.000
Er  0.500  0.500  0.500

---

2.
VASP calculation (PBE) on LiTh3 after structural relaxation.

N(E_F)	1.196	states/eV/atom
DFT formation energy	5.26	kcal/mol of atoms
ρ	9.82	g/cm³

abc: 4.917 4.917 4.917
angles: 90.00 90.00 90.00
Fractional coordinates of all 4 atoms:
Th  0.000  0.500  0.500
Th  0.500  0.500  0.000
Th  0.500  0.000  0.500
Li  0.000  0.000  0.000

---

3.
VASP calculation (PBE) on Sm5Dy4Hg4 after structural relaxation.

N(E_F)	0.815	states/eV/atom
DFT formation energy	-7.35	kcal/mol of atoms
ρ	9.57	g/cm³

abc: 5.181 8.972 8.972
angles: 85.22 73.22 73.22
Fractional coordinates of all 13 atoms:
Dy  0.605  0.297  0.493
Dy  0.395  0.703  0.507
Dy  0.098  0.507  0.297
Dy  0.902  0.493  0.703
Sm  0.000  0.000  0.000
Sm  0.382  0.303  0.934
Sm  0.618  0.697  0.066
Sm  0.685  0.934  0.697
Sm  0.315  0.066  0.303
Hg  0.241  0.665  0.854
Hg  0.905  0.854  0.335
Hg  0.759  0.335  0.146
Hg  0.095  0.146  0.665

---

4.
VASP calculation (PBE) on NbCu2Pd8 after structural relaxation.

N(E_F)	0.478	states/eV/atom
DFT formation energy	-5.25	kcal/mol of atoms
ρ	10.75	g/cm³

abc: 3.998 6.173 7.259
angles: 105.45 105.99 90.00
Fractional coordinates of all 11 atoms:
Cu  0.226  0.636  0.452
Cu  0.774  0.364  0.548
Pd  0.861  0.812  0.723
Pd  0.139  0.188  0.277
Pd  0.955  0.270  0.909
Pd  0.404  0.545  0.808
Pd  0.045  0.730  0.091
Pd  0.596  0.455  0.192
Pd  0.318  0.082  0.637
Pd  0.682  0.918  0.363
Nb  0.500  0.000  0.000